DFT (PBE) results for a relaxed KRb2SnS4 crystal.

a b c (Å): 8.108 8.108 7.921
angles (deg): 90.00 90.00 90.00
Fractional positions:
K 0.000 0.000 0.000
K 0.500 0.500 0.500
Rb 0.000 0.500 0.000
Rb 0.000 0.500 0.500
Rb 0.500 0.000 0.000
Rb 0.500 0.000 0.500
Sn 0.000 0.000 0.500
Sn 0.500 0.500 0.000
S 0.171 0.171 0.683
S 0.171 0.829 0.317
S 0.329 0.329 0.183
S 0.329 0.671 0.817
S 0.671 0.329 0.817
S 0.671 0.671 0.183
S 0.829 0.171 0.317
S 0.829 0.829 0.683

Results
- magnetization (μB per formula unit) = 1.12
- space group = I-42m, No. 121
- E_form (uncorrected) (eV per atom) = -0.80
- E_tot (eV per atom) = -3.7389